A plane-wave DFT calculation with GGA+U was carried out for crystalline Na3NiOs2O9 at its relaxed geometry.

Lattice parameters (Å, degrees): 5.482 5.482 6.790 90.00 90.00 120.00
Positions (direct):
O 0.658 0.829 0.321
O 0.171 0.829 0.321
O 0.000 0.500 0.000
O 0.171 0.342 0.321
O 0.829 0.171 0.679
O 0.500 0.500 0.000
O 0.342 0.171 0.679
O 0.500 0.000 0.000
O 0.829 0.658 0.679
Ni 0.000 0.000 0.500
Na 0.000 0.000 0.000
Na 0.667 0.333 0.351
Na 0.333 0.667 0.649
Os 0.333 0.667 0.169
Os 0.667 0.333 0.831

Results
Total DFT energy (no corrections) = -0.451 Ry/atom
V = 176.7 Å³/cell